# GGA-PBE SrHg2Pb, relaxed
data_SrHg2Pb
_chemical_formula_sum 'Sr1 Hg2 Pb1'
_cell_length_a 3.9714
_cell_length_b 3.9714
_cell_length_c 7.5865
_cell_angle_alpha 90.00
_cell_angle_beta 90.00
_cell_angle_gamma 90.00
_symmetry_space_group_name_H-M 'P 4 m m'
_symmetry_Int_Tables_number 99
loop_
_symmetry_equiv_pos_as_xyz
'x,y,z'
'-y,x,z'
'-x,-y,z'
'y,-x,z'
'-x,y,z'
'y,x,z'
'x,-y,z'
'-y,-x,z'
loop_
_atom_site_label
_atom_site_type_symbol
_atom_site_fract_x
_atom_site_fract_y
_atom_site_fract_z
Sr1 Sr 0.0000 0.0000 0.0000
Hg1 Hg 0.0000 0.0000 0.4710
Hg2 Hg 0.5000 0.5000 0.2570
Pb1 Pb 0.5000 0.5000 0.6929
# - energy (eV/atom) = -1.770
# - formation energy (kcal/mol of atoms) = -6.25
# - mass density (Mg/m³) = 9.7

***

# GGA-PBE SrHg4Pb3, relaxed
data_SrHg4Pb3
_chemical_formula_sum 'Sr3 Hg12 Pb9'
_cell_length_a 5.4014
_cell_length_b 5.4014
_cell_length_c 27.3822
_cell_angle_alpha 90.00
_cell_angle_beta 90.00
_cell_angle_gamma 120.00
_symmetry_space_group_name_H-M 'R -3 m'
_symmetry_Int_Tables_number 166
_symmetry_space_group_name_Hall '-R 3 2"'
loop_
_atom_site_label
_atom_site_type_symbol
_atom_site_fract_x
_atom_site_fract_y
_atom_site_fract_z
Sr1 Sr 0.0000 0.0000 0.0000
Hg1 Hg 0.0000 0.0000 0.1254
Hg2 Hg 0.0000 0.0000 0.3788
Pb1 Pb 0.0000 0.0000 0.2440
Pb2 Pb 0.0000 0.0000 0.5000
# - energy (eV/atom) = -1.938
# - formation energy (kcal/mol of atoms) = -4.30
# - mass density (Mg/m³) = 10.9

***

# GGA-PBE SrHg2Pb4, relaxed
data_SrHg2Pb4
_chemical_formula_sum 'Sr2 Hg4 Pb8'
_cell_length_a 5.1601
_cell_length_b 19.5585
_cell_length_c 4.3899
_cell_angle_alpha 90.00
_cell_angle_beta 90.00
_cell_angle_gamma 90.00
_symmetry_space_group_name_H-M 'C m m m'
_symmetry_Int_Tables_number 65
_symmetry_space_group_name_Hall '-C 2 2'
loop_
_atom_site_label
_atom_site_type_symbol
_atom_site_fract_x
_atom_site_fract_y
_atom_site_fract_z
Sr1 Sr 0.0000 0.0000 0.0000
Hg1 Hg 0.0000 0.4276 0.5000
Pb1 Pb 0.0000 0.1661 0.5000
Pb2 Pb 0.0000 0.3074 0.0000
# - energy (eV/atom) = -2.595
# - formation energy (kcal/mol of atoms) = -3.44
# - mass density (Mg/m³) = 9.9

***

# GGA-PBE Sr2HgPb, relaxed
data_Sr2HgPb
_chemical_formula_sum 'Sr2 Hg1 Pb1'
_cell_length_a 5.7877
_cell_length_b 5.7877
_cell_length_c 4.0401
_cell_angle_alpha 90.00
_cell_angle_beta 90.00
_cell_angle_gamma 90.00
_symmetry_space_group_name_H-M 'P 4/m m m'
_symmetry_Int_Tables_number 123
_symmetry_space_group_name_Hall '-P 4 2'
loop_
_atom_site_label
_atom_site_type_symbol
_atom_site_fract_x
_atom_site_fract_y
_atom_site_fract_z
Sr1 Sr 0.0000 0.5000 0.0000
Hg1 Hg 0.0000 0.0000 0.5000
Pb1 Pb 0.5000 0.5000 0.5000
# - energy (eV/atom) = -2.412
# - formation energy (kcal/mol of atoms) = -13.11
# - mass density (Mg/m³) = 7.2

***

# GGA-PBE Sr2HgPb, relaxed
data_Sr2HgPb
_chemical_formula_sum 'Sr4 Hg2 Pb2'
_cell_length_a 4.9477
_cell_length_b 4.9477
_cell_length_c 11.0834
_cell_angle_alpha 90.00
_cell_angle_beta 90.00
_cell_angle_gamma 90.00
_symmetry_space_group_name_H-M 'I -4 m 2'
_symmetry_Int_Tables_number 119
_symmetry_space_group_name_Hall 'I -4 -2'
loop_
_atom_site_label
_atom_site_type_symbol
_atom_site_fract_x
_atom_site_fract_y
_atom_site_fract_z
Sr1 Sr 0.0000 0.0000 0.0000
Sr2 Sr 0.0000 0.5000 0.2500
Hg1 Hg 0.0000 0.5000 0.7500
Pb1 Pb 0.0000 0.0000 0.5000
# - energy (eV/atom) = -2.237
# - formation energy (kcal/mol of atoms) = -9.08
# - mass density (Mg/m³) = 7.1

***

# GGA-PBE Sr2HgPb, relaxed
data_Sr2HgPb
_chemical_formula_sum 'Sr4 Hg2 Pb2'
_cell_length_a 5.8000
_cell_length_b 5.8164
_cell_length_c 8.2215
_cell_angle_alpha 90.00
_cell_angle_beta 90.00
_cell_angle_gamma 90.00
_symmetry_space_group_name_H-M 'I m m m'
_symmetry_Int_Tables_number 71
_symmetry_space_group_name_Hall '-I 2 2'
loop_
_atom_site_label
_atom_site_type_symbol
_atom_site_fract_x
_atom_site_fract_y
_atom_site_fract_z
Sr1 Sr 0.0000 0.0000 0.2500
Hg1 Hg 0.0000 0.5000 0.0000
Pb1 Pb 0.0000 0.5000 0.5000
# - energy (eV/atom) = -2.450
# - formation energy (kcal/mol of atoms) = -13.98
# - mass density (Mg/m³) = 7.0

***

| no. | DOS at the Fermi energy (states/eV/atom) | total magnetization (μB per formula unit) |
| --- | --- | --- |
| 1 | 0.39 | 0.0 |
| 2 | 0.38 | 0.0 |
| 3 | 0.46 | 0.0 |
| 4 | 0.37 | 0.0 |
| 5 | 0.55 | 0.0 |
| 6 | 0.22 | 0.0 |